First-principles (GGA+U) data for NbVF2 after structural relaxation, as listed in Alexandria.

For the spin magnetization, the calculation gives 9.289 μB/cell. The electronic total energy comes out at -78.10 eV/cell. The energy above the most stable polymorph in this dataset is 0 meV/atom.

The structure belongs to space group R-3m (No. 166, hexagonal axes); the cell edges are 3.0676, 3.0676 and 21.7248 Å and the angles 90.00°, 90.00° and 120.00°. The distinct sites, in fractional coordinates, are Nb at (0.0000, 0.0000, 0.0000), V at (0.0000, 0.0000, 0.5000) and F at (0.0000, 0.0000, 0.1141).